No. 1
DFT (PBE) results for a relaxed Na4Ce3InS8 crystal.

The structure in extended XYZ format:
```
16
Lattice="8.212 0.000 0.000 0.000 8.151 -0.049 -4.106 -4.103 5.809" Properties=species:S:1:pos:R:3 pbc="T T T"
Na -2.053 -2.052 2.904
Na 0.000 0.000 0.000
Na 2.053 -2.052 2.904
Na 4.106 0.000 0.000
S 4.106 3.971 2.804
S 4.106 0.101 2.979
S 2.046 2.159 0.068
S 0.000 0.077 2.955
S 0.000 3.947 2.780
S 6.166 2.159 0.068
S -2.060 1.889 5.692
S 2.060 1.889 5.692
In 0.000 4.076 -0.024
Ce -2.053 2.024 2.880
Ce 4.106 4.076 -0.024
Ce 2.053 2.024 2.880
```

Properties
* E: -82.93 eV for the cell shown
* E_form (uncorrected): -1.506 eV/atom
* DOS at the Fermi energy: 16.533 states/eV per cell

No. 2
DFT (PBE) results for a relaxed NaCeInS4 crystal.

The structure in extended XYZ format:
```
14
Lattice="-4.830 -2.298 5.524 -1.227 -7.836 1.019 3.027 -3.301 6.625" Properties=species:S:1:pos:R:3 pbc="T T T"
In -3.543 -6.566 4.874
In 0.512 -6.869 8.293
S -3.257 -4.403 6.023
S -1.682 -6.224 9.437
S -2.350 -9.965 9.854
S 0.226 -9.031 7.144
S -3.870 -8.410 6.614
S -0.680 -3.470 3.313
S 0.839 -5.024 6.553
S -1.348 -7.211 3.731
Ce 0.900 -5.568 3.822
Ce 0.000 0.000 0.000
Na 1.513 -1.651 3.312
Na -0.902 -2.799 6.074
```

Properties
* E: -69.28 eV for the cell shown
* E_form (uncorrected): -1.163 eV/atom

No. 3
DFT (PBE) results for a relaxed Na2CeInSe4 crystal.

The structure in extended XYZ format:
```
8
Lattice="4.175 0.000 0.000 0.000 7.245 0.114 0.000 -2.543 6.985" Properties=species:S:1:pos:R:3 pbc="T T T"
Na 0.000 2.351 3.550
Na 2.087 -1.272 3.493
Se 0.000 4.817 1.729
Se 2.087 3.586 5.491
Se 2.087 1.116 1.608
Se 0.000 -0.115 5.370
Ce 2.087 3.623 0.057
In 0.000 0.000 0.000
```

Properties
* E: -34.82 eV for the cell shown
* E_form (uncorrected): -1.196 eV/atom
* DOS at the Fermi energy: 5.033 states/eV per cell

No. 4
DFT (PBE) results for a relaxed NaCeSmIn crystal.

The structure in extended XYZ format:
```
4
Lattice="5.508 0.000 0.000 2.754 4.770 0.000 2.754 1.590 4.497" Properties=species:S:1:pos:R:3 pbc="T T T"
Na 0.000 0.000 0.000
Ce 8.261 4.770 3.373
In 5.508 3.180 2.248
Sm 2.754 1.590 1.124
```

Properties
* E: -14.83 eV for the cell shown
* formation enthalpy at 0 K: -0.031 eV per atom
* DOS at the Fermi energy: 11.362 states/eV per cell

No. 5
DFT (PBE) results for a relaxed Na2CeInSn2 crystal.

The structure in extended XYZ format:
```
12
Lattice="4.716 0.000 0.000 0.000 7.836 0.000 0.000 0.000 9.454" Properties=species:S:1:pos:R:3 pbc="T T T"
Na 0.000 2.734 1.551
Na 2.358 0.307 0.721
Na 2.358 4.225 8.734
Na 0.000 6.652 7.903
Sn 0.000 2.036 7.920
Sn 2.358 5.984 5.892
Sn 0.000 5.954 1.534
Sn 2.358 2.066 3.562
In 2.358 5.097 3.024
In 2.358 1.180 6.431
Ce 0.000 7.706 4.267
Ce 0.000 3.789 5.187
```

Properties
* E: -42.58 eV for the cell shown
* formation enthalpy at 0 K: -0.329 eV per atom
* DOS at the Fermi energy: 15.032 states/eV per cell

No. 6
DFT (PBE) results for a relaxed NaSrCeIn crystal.

The structure in extended XYZ format:
```
4
Lattice="5.730 0.000 0.000 2.865 4.962 0.000 2.865 1.654 4.678" Properties=species:S:1:pos:R:3 pbc="T T T"
Sr 2.865 1.654 1.170
Na 0.000 0.000 0.000
Ce 8.595 4.962 3.509
In 5.730 3.308 2.339
```

Properties
* E: -11.78 eV for the cell shown
* formation enthalpy at 0 K: -0.027 eV per atom
* DOS at the Fermi energy: 11.016 states/eV per cell

No. 7
DFT (PBE) results for a relaxed Ce2NbIn crystal.

The structure in extended XYZ format:
```
4
Lattice="-0.504 2.793 1.238 -1.802 2.043 -1.471 -9.972 -2.510 5.477" Properties=species:S:1:pos:R:3 pbc="T T T"
Nb 0.000 0.000 0.000
Ce -7.702 -1.493 4.107
Ce -4.576 3.819 1.137
In -6.139 1.163 2.622
```

Properties
* E: -23.72 eV for the cell shown
* formation enthalpy at 0 K: 0.239 eV per atom
* DOS at the Fermi energy: 8.577 states/eV per cell

No. 8
DFT (PBE) results for a relaxed CeNbIn crystal.

The structure in extended XYZ format:
```
6
Lattice="-2.319 1.967 -0.679 -3.370 -3.509 3.397 4.763 6.334 3.661" Properties=species:S:1:pos:R:3 pbc="T T T"
Nb -4.514 -1.104 2.131
Nb 3.587 5.896 4.247
In -1.845 -0.248 3.566
In 0.918 5.040 2.813
Ce 0.217 2.386 4.560
Ce -1.144 2.405 1.819
```

Properties
* E: -37.17 eV for the cell shown
* formation enthalpy at 0 K: 0.052 eV per atom
* DOS at the Fermi energy: 8.639 states/eV per cell

No. 9
DFT (PBE) results for a relaxed CeNb2InO6 crystal.

The structure in extended XYZ format:
```
10
Lattice="-2.869 2.869 4.119 2.869 -2.869 4.119 2.869 2.869 -4.119" Properties=species:S:1:pos:R:3 pbc="T T T"
O -1.194 1.194 1.966
O 0.000 2.869 0.000
O 1.194 -1.194 1.966
O 1.194 1.194 6.272
O 1.676 1.676 2.153
O 2.869 0.000 0.000
In 0.000 0.000 4.119
Ce 0.000 0.000 0.000
Nb 0.000 2.869 2.059
Nb 2.869 0.000 2.059
```

Properties
* E: -81.76 eV for the cell shown
* E_form (uncorrected): -2.319 eV/atom
* DOS at the Fermi energy: 8.263 states/eV per cell

No. 10
DFT (PBE) results for a relaxed CeZrNbIn crystal.

The structure in extended XYZ format:
```
4
Lattice="5.090 0.000 0.000 2.545 4.408 0.000 2.545 1.469 4.156" Properties=species:S:1:pos:R:3 pbc="T T T"
Nb 0.000 0.000 0.000
In 5.090 2.939 2.078
Ce 2.545 1.469 1.039
Zr 7.635 4.408 3.117
```

Properties
* E: -27.16 eV for the cell shown
* formation enthalpy at 0 K: 0.033 eV per atom
* DOS at the Fermi energy: 8.576 states/eV per cell

No. 11
DFT (PBE) results for a relaxed CeNdIn crystal.

The structure in extended XYZ format:
```
6
Lattice="3.352 0.000 0.000 0.000 9.057 0.000 0.000 0.000 5.909" Properties=species:S:1:pos:R:3 pbc="T T T"
Nd 1.676 7.629 4.432
Nd 1.676 1.428 1.477
Ce 0.000 4.528 0.000
Ce 0.000 4.528 2.954
In 0.000 7.483 1.477
In 0.000 1.574 4.432
```

Properties
* E: -27.56 eV for the cell shown
* formation enthalpy at 0 K: -0.113 eV per atom
* DOS at the Fermi energy: 13.033 states/eV per cell

No. 12
DFT (PBE) results for a relaxed Ce2Nd3In7 crystal.

The structure in extended XYZ format:
```
12
Lattice="5.539 0.000 0.000 0.000 5.233 0.000 0.000 -2.617 12.687" Properties=species:S:1:pos:R:3 pbc="T T T"
In 0.000 2.617 5.697
In 2.769 0.000 1.951
In 0.000 0.000 0.000
In 0.000 0.000 10.872
In 0.000 0.000 6.990
In 0.000 2.617 1.814
In 2.769 2.617 10.736
Nd 2.769 2.617 0.000
Nd 2.769 2.617 3.984
Nd 2.769 0.000 8.702
Ce 0.000 0.000 3.645
Ce 0.000 2.617 9.042
```

Properties
* E: -47.73 eV for the cell shown
* formation enthalpy at 0 K: -0.199 eV per atom
* DOS at the Fermi energy: 20.640 states/eV per cell

No. 13
DFT (PBE) results for a relaxed CeNd2In2 crystal.

The structure in extended XYZ format:
```
10
Lattice="4.515 0.006 -0.440 2.249 6.455 -0.221 1.071 0.004 10.976" Properties=species:S:1:pos:R:3 pbc="T T T"
Nd 3.912 1.407 5.073
Nd 3.393 1.405 -0.246
Nd 4.442 5.060 10.560
Nd 3.923 5.058 5.241
In 1.394 1.150 2.635
In 4.186 3.347 7.901
In 6.440 5.315 7.679
In 3.648 3.119 2.413
Ce 1.932 1.156 8.121
Ce 5.903 5.310 2.193
```

Properties
* E: -43.30 eV for the cell shown
* formation enthalpy at 0 K: -0.141 eV per atom
* DOS at the Fermi energy: 18.857 states/eV per cell